No. 1
Material: Bi2Sb2C
Method: DFT, GGA-PBE
State: relaxed

Calculated values
Raw formation energy, eV per atom: 0.97
Offset from the most stable computed form, meV per atom: 0
Space group: P4/mbm
Total magnetic moment, μB per formula unit: 0.77

a = 6.6272 Å, b = 6.6272 Å, c = 6.2911 Å
α = 90.00°, β = 90.00°, γ = 90.00°
Sites, in units of the cell vectors:
Bi 0.1757 0.3243 0.0000
Bi 0.3243 0.8243 0.0000
Bi 0.6757 0.1757 0.0000
Bi 0.8243 0.6757 0.0000
Sb 0.2454 0.2546 0.5000
Sb 0.2546 0.7546 0.5000
Sb 0.7454 0.2454 0.5000
Sb 0.7546 0.7454 0.5000
C 0.0000 0.0000 0.0000
C 0.5000 0.5000 0.0000

***

No. 2
Material: Rb2InSF6
Method: DFT, GGA-PBE
State: relaxed

Calculated values
Raw formation energy, eV per atom: -2.03
Space group: I4/mmm
Total magnetic moment, μB per formula unit: 1.00

a = 6.8574 Å, b = 6.8574 Å, c = 6.8574 Å
α = 127.27°, β = 127.27°, γ = 77.80°
Sites, in units of the cell vectors:
Rb 0.2500 0.7500 0.5000
Rb 0.7500 0.2500 0.5000
In 0.0000 0.0000 0.0000
S 0.5000 0.5000 0.0000
F 0.1952 0.1952 0.0000
F 0.2472 0.2472 0.4945
F 0.2472 0.7528 0.0000
F 0.7528 0.2472 0.0000
F 0.7528 0.7528 0.5055
F 0.8048 0.8048 0.0000

***

No. 3
Material: OsSCl
Method: DFT, GGA-PBE
State: relaxed

Calculated values
Raw formation energy, eV per atom: 0.01
Space group: Cmm2
Total magnetic moment, μB per formula unit: 0.00

a = 6.1636 Å, b = 6.5313 Å, c = 7.0248 Å
α = 90.00°, β = 90.00°, γ = 90.00°
Sites, in units of the cell vectors:
Os 0.0000 0.1870 0.0000
Os 0.0000 0.8130 0.0000
Os 0.5000 0.3130 0.0000
Os 0.5000 0.6870 0.0000
S 0.2500 0.2500 0.2207
S 0.2500 0.7500 0.2207
S 0.7500 0.2500 0.2207
S 0.7500 0.7500 0.2207
Cl 0.0000 0.0000 0.6906
Cl 0.0000 0.5000 0.8098
Cl 0.5000 0.0000 0.8098
Cl 0.5000 0.5000 0.6906

***

No. 4
Material: Y3BBr
Method: DFT, GGA-PBE
State: relaxed

Calculated values
Raw formation energy, eV per atom: -0.18
Offset from the most stable computed form, meV per atom: 0
Space group: Pm-3m
Total magnetic moment, μB per formula unit: 0.00

a = 5.1090 Å, b = 5.1090 Å, c = 5.1090 Å
α = 90.00°, β = 90.00°, γ = 90.00°
Sites, in units of the cell vectors:
Y 0.0000 0.0000 0.5000
Y 0.0000 0.5000 0.0000
Y 0.5000 0.0000 0.0000
B 0.0000 0.0000 0.0000
Br 0.5000 0.5000 0.5000

***

No. 5
Material: GaSnP
Method: DFT, GGA-PBE
State: relaxed

Calculated values
Formation energy, eV/atom: -0.02
Offset from the most stable computed form, meV per atom: 60
Space group: P2/m
Total magnetic moment, μB per formula unit: 0.00

a = 5.1787 Å, b = 3.8645 Å, c = 6.6036 Å
α = 90.00°, β = 95.11°, γ = 90.00°
Sites, in units of the cell vectors:
Ga 0.2435 0.0000 0.3173
Ga 0.7565 0.0000 0.6827
Sn 0.1823 0.5000 0.8112
Sn 0.8177 0.5000 0.1888
P 0.5000 0.0000 0.0000
P 0.5000 0.5000 0.5000

***

No. 6
Material: Ta2V2Au
Method: DFT, GGA-PBE
State: relaxed

Calculated values
Formation energy, eV/atom: 0.17
Space group: P4/mbm
Total magnetic moment, μB per formula unit: 0.00

a = 6.8804 Å, b = 6.8804 Å, c = 3.4958 Å
α = 90.00°, β = 90.00°, γ = 90.00°
Sites, in units of the cell vectors:
Ta 0.1780 0.3220 0.0000
Ta 0.3220 0.8220 0.0000
Ta 0.6780 0.1780 0.0000
Ta 0.8220 0.6780 0.0000
V 0.1184 0.6184 0.5000
V 0.3816 0.1184 0.5000
V 0.6184 0.8816 0.5000
V 0.8816 0.3816 0.5000
Au 0.0000 0.0000 0.5000
Au 0.5000 0.5000 0.5000

***

Result set for V: 276.3, 197.9, 282.8, 133.4, 131.6, 165.5 Å³ per cell, one per record in the order listed.